A plane-wave DFT calculation with PBE was carried out for a relaxed RuW2Se crystal.

Unit cell a=8.744 b=8.744 c=8.744 alpha=19.10 beta=19.10 gamma=19.10
Fractional positions:
Ru 0.000 0.000 0.000
W 0.249 0.249 0.249
W 0.751 0.751 0.751
Se 0.500 0.500 0.500

Output
Space-group type: No. 166

A plane-wave DFT calculation with PBE was carried out for a relaxed RuW2Se crystal.

Unit cell a=3.073 b=3.073 c=6.723 alpha=90.00 beta=90.00 gamma=90.00
Fractional positions:
Ru 0.000 0.000 0.000
W 0.000 0.000 0.511
W 0.500 0.500 0.780
Se 0.500 0.500 0.285

Output
Space-group type: No. 99

A plane-wave DFT calculation with PBE was carried out for a relaxed RuW2Se crystal.

Unit cell a=5.274 b=5.274 c=5.274 alpha=146.50 beta=129.39 gamma=62.06
Fractional positions:
Ru 0.000 0.000 0.000
W 0.269 0.769 0.500
W 0.731 0.231 0.500
Se 0.500 0.500 0.000

Output
Space-group type: No. 71

A plane-wave DFT calculation with PBE was carried out for a relaxed RuW2Se crystal.

Unit cell a=2.902 b=4.122 c=5.378 alpha=90.00 beta=104.73 gamma=90.00
Fractional positions:
Ru 0.000 0.000 0.000
W 0.378 0.500 0.746
W 0.714 0.000 0.480
Se 0.122 0.500 0.259

Output
Space-group type: No. 6

A plane-wave DFT calculation with PBE was carried out for a relaxed RuW2Se crystal.

Unit cell a=4.851 b=4.851 c=4.717 alpha=105.24 beta=105.24 gamma=35.71
Fractional positions:
Ru 0.000 0.000 0.000
W 0.513 0.513 0.513
W 0.740 0.740 0.134
Se 0.254 0.254 0.660

Output
Space-group type: No. 8

A plane-wave DFT calculation with PBE was carried out for a relaxed RuWSe2 crystal.

Unit cell a=3.116 b=3.797 c=6.827 alpha=90.00 beta=90.00 gamma=90.00
Fractional positions:
Ru 0.000 0.000 0.000
W 0.500 0.500 0.820
Se 0.000 0.000 0.643
Se 0.500 0.500 0.175

Output
Space-group type: No. 25

A plane-wave DFT calculation with PBE was carried out for a relaxed RuW2Se crystal.

Unit cell a=2.965 b=2.965 c=6.929 alpha=90.00 beta=90.00 gamma=90.00
Fractional positions:
Ru 0.000 0.000 0.000
W 0.500 0.500 0.255
W 0.500 0.500 0.745
Se 0.000 0.000 0.500

Output
Space-group type: No. 123

A plane-wave DFT calculation with PBE was carried out for a relaxed RuW2Se crystal.

Unit cell a=3.070 b=4.451 c=4.596 alpha=90.00 beta=90.00 gamma=90.00
Fractional positions:
Ru 0.000 0.000 0.000
W 0.000 0.500 0.500
W 0.500 0.000 0.500
Se 0.500 0.500 0.000

Output
Space-group type: No. 47

A plane-wave DFT calculation with PBE was carried out for a relaxed RuW2Se crystal.

Unit cell a=5.153 b=5.153 c=5.153 alpha=136.92 beta=136.92 gamma=62.56
Fractional positions:
Ru 0.000 0.000 0.000
W 0.250 0.750 0.500
W 0.750 0.250 0.500
Se 0.500 0.500 0.000

Output
Space-group type: No. 139

A plane-wave DFT calculation with PBE was carried out for a relaxed RuWSe2 crystal.

Unit cell a=3.731 b=3.970 c=6.259 alpha=90.00 beta=90.07 gamma=90.00
Fractional positions:
Ru 0.000 0.000 0.000
W 0.500 0.500 0.992
Se 0.001 0.500 0.262
Se 0.499 0.000 0.736

Output
Space-group type: No. 6

A plane-wave DFT calculation with PBE was carried out for a relaxed RuWSe2 crystal.

Unit cell a=4.321 b=4.321 c=5.304 alpha=100.45 beta=100.45 gamma=41.54
Fractional positions:
Ru 0.000 0.000 0.000
W 0.500 0.500 0.500
Se 0.238 0.238 0.744
Se 0.762 0.762 0.256

Output
Space-group type: No. 12

A plane-wave DFT calculation with PBE was carried out for a relaxed RuW2Se crystal.

Unit cell a=8.873 b=8.873 c=8.873 alpha=19.00 beta=19.00 gamma=19.00
Fractional positions:
Ru 0.000 0.000 0.000
W 0.256 0.256 0.256
W 0.498 0.498 0.498
Se 0.758 0.758 0.758

Output
Space-group type: No. 160

A plane-wave DFT calculation with PBE was carried out for a relaxed RuWSe2 crystal.

Unit cell a=4.438 b=4.438 c=4.438 alpha=60.00 beta=60.00 gamma=60.00
Fractional positions:
Ru 0.000 0.000 0.000
W 0.500 0.500 0.500
Se 0.250 0.250 0.250
Se 0.750 0.750 0.750

Output
Space-group type: No. 225

A plane-wave DFT calculation with PBE was carried out for a relaxed RuWSe4 crystal.

Unit cell a=5.434 b=5.434 c=5.434 alpha=60.00 beta=60.00 gamma=60.00
Fractional positions:
Ru 0.000 0.000 0.000
W 0.250 0.250 0.250
Se 0.125 0.625 0.625
Se 0.625 0.125 0.625
Se 0.625 0.625 0.125
Se 0.625 0.625 0.625

Output
Space-group type: No. 216

A plane-wave DFT calculation with PBE was carried out for a relaxed RuWSe2 crystal.

Unit cell a=3.145 b=3.145 c=6.285 alpha=90.00 beta=90.00 gamma=90.00
Fractional positions:
Ru 0.000 0.000 0.000
W 0.000 0.000 0.500
Se 0.500 0.500 0.256
Se 0.500 0.500 0.744

Output
Space-group type: No. 123

A plane-wave DFT calculation with PBE was carried out for a relaxed RuW2Se crystal.

Unit cell a=4.977 b=4.977 c=4.477 alpha=95.83 beta=95.83 gamma=35.23
Fractional positions:
Ru 0.000 0.000 0.000
W 0.264 0.264 0.767
W 0.736 0.736 0.233
Se 0.500 0.500 0.500

Output
Space-group type: No. 12

A plane-wave DFT calculation with PBE was carried out for a relaxed RuW2Se crystal.

Unit cell a=4.922 b=4.922 c=2.910 alpha=90.00 beta=90.00 gamma=116.46
Fractional positions:
Ru 0.000 0.000 0.000
W 0.000 0.500 0.500
W 0.500 0.000 0.500
Se 0.500 0.500 0.000

Output
Space-group type: No. 65

A plane-wave DFT calculation with PBE was carried out for a relaxed Ru2W2Se crystal.

Unit cell a=6.343 b=6.343 c=6.343 alpha=142.83 beta=142.83 gamma=53.58
Fractional positions:
Ru 0.116 0.116 0.000
Ru 0.884 0.884 0.000
W 0.250 0.750 0.500
W 0.750 0.250 0.500
Se 0.500 0.500 0.000

Output
Space-group type: No. 139

A plane-wave DFT calculation with PBE was carried out for a relaxed RuW4Se crystal.

Unit cell a=5.274 b=5.274 c=5.274 alpha=60.00 beta=60.00 gamma=60.00
Fractional positions:
Ru 0.000 0.000 0.000
W 0.376 0.376 0.376
W 0.376 0.376 0.873
W 0.376 0.873 0.376
W 0.873 0.376 0.376
Se 0.750 0.750 0.750

Output
Space-group type: No. 216

A plane-wave DFT calculation with PBE was carried out for a relaxed RuWSe2 crystal.

Unit cell a=4.271 b=3.069 c=5.286 alpha=90.00 beta=113.35 gamma=90.00
Fractional positions:
Ru 0.000 0.000 0.000
W 0.500 0.500 0.500
Se 0.000 0.000 0.500
Se 0.500 0.500 0.000

Output
Space-group type: No. 10

A plane-wave DFT calculation with PBE was carried out for a relaxed RuWSe2 crystal.

Unit cell a=4.984 b=4.984 c=6.415 alpha=97.43 beta=97.43 gamma=37.26
Fractional positions:
Ru 0.000 0.000 0.000
W 0.286 0.286 0.951
Se 0.597 0.597 0.735
Se 0.819 0.819 0.253

Output
Space-group type: No. 8

A plane-wave DFT calculation with PBE was carried out for a relaxed ZnRuW2Se crystal.

Unit cell a=4.605 b=4.605 c=4.522 alpha=90.00 beta=90.00 gamma=90.00
Fractional positions:
Zn 0.000 0.000 0.000
Ru 0.000 0.000 0.500
W 0.000 0.500 0.000
W 0.500 0.000 0.000
Se 0.500 0.500 0.500

Output
Space-group type: No. 123

A plane-wave DFT calculation with PBE was carried out for a relaxed ZnRu2WSe crystal.

Unit cell a=4.517 b=4.517 c=4.438 alpha=90.00 beta=90.00 gamma=90.00
Fractional positions:
Zn 0.000 0.000 0.000
Ru 0.000 0.500 0.000
Ru 0.500 0.000 0.000
W 0.500 0.500 0.500
Se 0.000 0.000 0.500

Output
Space-group type: No. 123

A plane-wave DFT calculation with PBE was carried out for a relaxed ZrRu2WSe crystal.

Unit cell a=4.491 b=4.491 c=4.650 alpha=90.00 beta=90.00 gamma=90.00
Fractional positions:
Zr 0.000 0.000 0.000
Ru 0.000 0.500 0.500
Ru 0.500 0.000 0.500
W 0.500 0.500 0.000
Se 0.500 0.500 0.500

Output
Space-group type: No. 123

A plane-wave DFT calculation with PBE was carried out for a relaxed YRuSe crystal.

Unit cell a=4.466 b=4.466 c=4.466 alpha=60.00 beta=60.00 gamma=60.00
Fractional positions:
Y 0.000 0.000 0.000
Ru 0.250 0.250 0.250
Se 0.500 0.500 0.500

Output
Space-group type: No. 216

A plane-wave DFT calculation with PBE was carried out for a relaxed YRu2Se2 crystal.

Unit cell a=6.346 b=6.346 c=6.346 alpha=142.52 beta=142.52 gamma=54.05
Fractional positions:
Y 0.000 0.000 0.000
Ru 0.250 0.750 0.500
Ru 0.750 0.250 0.500
Se 0.370 0.370 0.000
Se 0.630 0.630 0.000

Output
Space-group type: No. 139

A plane-wave DFT calculation with PBE was carried out for a relaxed YRuSe crystal.

Unit cell a=4.634 b=4.634 c=4.634 alpha=60.00 beta=60.00 gamma=60.00
Fractional positions:
Y 0.000 0.000 0.000
Ru 0.250 0.250 0.250
Se 0.750 0.750 0.750

Output
Space-group type: No. 216

A plane-wave DFT calculation with PBE was carried out for a relaxed Y4RuSe crystal.

Unit cell a=6.065 b=6.065 c=6.065 alpha=60.00 beta=60.00 gamma=60.00
Fractional positions:
Y 0.124 0.124 0.124
Y 0.124 0.124 0.629
Y 0.124 0.629 0.124
Y 0.629 0.124 0.124
Ru 0.750 0.750 0.750
Se 0.500 0.500 0.500

Output
Space-group type: No. 216

A plane-wave DFT calculation with PBE was carried out for a relaxed YRuSe crystal.

Unit cell a=4.324 b=4.324 c=3.610 alpha=90.00 beta=90.00 gamma=120.00
Fractional positions:
Y 0.000 0.000 0.000
Ru 0.667 0.333 0.500
Se 0.333 0.667 0.500

Output
Space-group type: No. 187

A plane-wave DFT calculation with PBE was carried out for a relaxed YRuSe3 crystal.

Unit cell a=5.401 b=5.401 c=5.401 alpha=90.00 beta=90.00 gamma=90.00
Fractional positions:
Y 0.000 0.000 0.000
Ru 0.500 0.500 0.500
Se 0.000 0.000 0.500
Se 0.000 0.500 0.000
Se 0.500 0.000 0.000

Output
Space-group type: No. 221

Number 1: total magnetization 0.00 Bohr magnetons per cell, uncorrected formation energy 0.35 eV per atom, final energy -37.26 eV per cell. Number 2: total magnetization 0.00 Bohr magnetons per cell, uncorrected formation energy 0.22 eV per atom, final energy -37.78 eV per cell. Number 3: total magnetization 0.00 Bohr magnetons per cell, uncorrected formation energy 0.36 eV per atom, final energy -37.24 eV per cell. Number 4: total magnetization 0.00 Bohr magnetons per cell, uncorrected formation energy 0.35 eV per atom, final energy -37.27 eV per cell. Number 5: total magnetization 0.00 Bohr magnetons per cell, uncorrected formation energy 0.34 eV per atom, final energy -37.31 eV per cell. Number 6: total magnetization 0.00 Bohr magnetons per cell, uncorrected formation energy 0.10 eV per atom, final energy -28.81 eV per cell. Number 7: total magnetization 0.00 Bohr magnetons per cell, uncorrected formation energy 0.17 eV per atom, final energy -37.97 eV per cell. Number 8: total magnetization 0.00 Bohr magnetons per cell, uncorrected formation energy 0.44 eV per atom, final energy -36.91 eV per cell. Number 9: total magnetization 0.00 Bohr magnetons per cell, uncorrected formation energy 0.58 eV per atom, final energy -36.35 eV per cell. Number 10: total magnetization 0.00 Bohr magnetons per cell, uncorrected formation energy -0.03 eV per atom, final energy -29.32 eV per cell. Number 11: total magnetization 0.00 Bohr magnetons per cell, uncorrected formation energy 0.32 eV per atom, final energy -27.91 eV per cell. Number 12: total magnetization 0.00 Bohr magnetons per cell, uncorrected formation energy 0.29 eV per atom, final energy -37.51 eV per cell. Number 13: total magnetization 0.00 Bohr magnetons per cell, uncorrected formation energy 0.33 eV per atom, final energy -27.88 eV per cell. Number 14: total magnetization 0.61 Bohr magnetons per cell, uncorrected formation energy 1.58 eV per atom, final energy -26.71 eV per cell. Number 15: total magnetization 0.00 Bohr magnetons per cell, uncorrected formation energy 0.33 eV per atom, final energy -27.87 eV per cell. Number 16: total magnetization 0.00 Bohr magnetons per cell, uncorrected formation energy 0.39 eV per atom, final energy -37.11 eV per cell. Number 17: total magnetization 0.00 Bohr magnetons per cell, uncorrected formation energy 0.56 eV per atom, final energy -36.43 eV per cell. Number 18: total magnetization 0.00 Bohr magnetons per cell, uncorrected formation energy 0.58 eV per atom, final energy -45.06 eV per cell. Number 19: total magnetization 0.00 Bohr magnetons per cell, uncorrected formation energy 0.89 eV per atom, final energy -59.25 eV per cell. Number 20: total magnetization 0.00 Bohr magnetons per cell, uncorrected formation energy 0.29 eV per atom, final energy -28.03 eV per cell. Number 21: total magnetization 0.00 Bohr magnetons per cell, uncorrected formation energy 0.15 eV per atom, final energy -28.61 eV per cell. Number 22: total magnetization 0.31 Bohr magnetons per cell, uncorrected formation energy 2.03 eV per atom, final energy -29.81 eV per cell. Number 23: total magnetization 0.00 Bohr magnetons per cell, uncorrected formation energy 1.89 eV per atom, final energy -26.81 eV per cell. Number 24: total magnetization 0.03 Bohr magnetons per cell, uncorrected formation energy 0.68 eV per atom, final energy -40.16 eV per cell. Number 25: total magnetization 0.00 Bohr magnetons per cell, uncorrected formation energy -0.49 eV per atom, final energy -20.71 eV per cell. Number 26: total magnetization 0.00 Bohr magnetons per cell, uncorrected formation energy -0.46 eV per atom, final energy -34.27 eV per cell. Number 27: total magnetization 0.00 Bohr magnetons per cell, uncorrected formation energy 0.09 eV per atom, final energy -18.94 eV per cell. Number 28: total magnetization 2.19 Bohr magnetons per cell, uncorrected formation energy 0.61 eV per atom, final energy -34.95 eV per cell. Number 29: total magnetization 0.00 Bohr magnetons per cell, uncorrected formation energy -0.75 eV per atom, final energy -21.48 eV per cell. Number 30: total magnetization 3.42 Bohr magnetons per cell, uncorrected formation energy 0.43 eV per atom, final energy -24.06 eV per cell.